# Pb4I3Cl4

A relaxed structure of Pb4I3Cl4 (PBE, the Alexandria database).

Output
Crystal system: orthorhombic
ΔE_f (raw) (eV/atom): -0.776

a = 9.794 Å, b = 9.794 Å, c = 9.794 Å
α = 152.95°, β = 126.10°, γ = 61.33°
Fractional coordinates of all 11 atoms:
Pb 0.234 0.234 0.000
Pb 0.290 0.500 0.790
Pb 0.710 0.500 0.210
Pb 0.766 0.766 0.000
I 0.000 0.000 0.000
I 0.387 0.887 0.500
I 0.613 0.113 0.500
Cl 0.021 0.326 0.694
Cl 0.368 0.674 0.694
Cl 0.632 0.326 0.306
Cl 0.979 0.674 0.306